# GGA-PBE Na3MgHg12, optimized geometry
# ρ: 10.25 g cm⁻³
# energy: -0.72 eV per atom
# energy of formation from the pure elements: -151 meV per atom
# total magnetization: 0.000 μB/cell
data_Na3MgHg12
_space_group_name_H-M_alt 'P 1'
_space_group_IT_number 1
_space_group_name_Hall 'P 1'
_cell_length_a 4.690
_cell_length_b 4.690
_cell_length_c 18.418
_cell_angle_alpha 90.00
_cell_angle_beta 90.00
_cell_angle_gamma 90.00
loop_
_atom_site_label
_atom_site_fract_x
_atom_site_fract_y
_atom_site_fract_z
_atom_site_occupancy
Na1 0.000 0.000 0.500 1
Na2 0.000 0.000 0.244 1
Na3 0.000 0.000 0.756 1
Hg1 0.500 0.500 0.000 1
Hg2 0.000 0.500 0.372 1
Hg3 0.500 0.500 0.500 1
Hg4 0.500 0.000 0.119 1
Hg5 0.000 0.500 0.119 1
Hg6 0.500 0.000 0.881 1
Mg1 0.000 0.000 0.000 1
Hg7 0.000 0.500 0.628 1
Hg8 0.500 0.000 0.628 1
Hg9 0.000 0.500 0.881 1
Hg10 0.500 0.500 0.245 1
Hg11 0.500 0.000 0.372 1
Hg12 0.500 0.500 0.755 1